*one*
A plane-wave DFT calculation with PBE was carried out for a relaxed Ba2SbAu2 crystal.

Results
For the total magnetic moment, the calculation gives 0.0 μB/cell.

Cell and atoms, written as CIF:
```
data_Ba2SbAu2
_chemical_formula_sum 'Ba8 Sb4 Au8'
_space_group_name_H-M_alt 'C 1 2/m 1'
_space_group_IT_number 12
_space_group_name_Hall '-C 2y'
_cell_length_a 12.356
_cell_length_b 4.769
_cell_length_c 13.027
_cell_angle_alpha 90.00
_cell_angle_beta 117.46
_cell_angle_gamma 90.00
loop_
_atom_site_label
_atom_site_fract_x
_atom_site_fract_y
_atom_site_fract_z
Ba1 0.091 0.000 0.395
Ba2 0.190 0.500 0.131
Sb1 0.075 0.500 0.818
Au1 0.038 0.000 0.913
Au2 0.127 0.500 0.605
```

*two*
A plane-wave DFT calculation with PBE was carried out for a relaxed Ba2SbAu2 crystal.

Results
For the total magnetic moment, the calculation gives 0.0 μB/cell.

Cell and atoms, written as CIF:
```
data_Ba2SbAu2
_chemical_formula_sum 'Ba4 Sb2 Au4'
_space_group_name_H-M_alt 'I 4/m m m'
_space_group_IT_number 139
_space_group_name_Hall '-I 4 2'
_cell_length_a 6.341
_cell_length_b 6.341
_cell_length_c 8.682
_cell_angle_alpha 90.00
_cell_angle_beta 90.00
_cell_angle_gamma 90.00
loop_
_atom_site_label
_atom_site_fract_x
_atom_site_fract_y
_atom_site_fract_z
Ba1 0.000 0.500 0.250
Sb1 0.000 0.000 0.000
Au1 0.000 0.000 0.345
```

*three*
A plane-wave DFT calculation with PBE was carried out for a relaxed Ba2SbAu2 crystal.

Results
For the total magnetic moment, the calculation gives 0.0 μB/cell.

Cell and atoms, written as CIF:
```
data_Ba2SbAu2
_chemical_formula_sum 'Ba4 Sb2 Au4'
_space_group_name_H-M_alt 'P 4/m b m'
_space_group_IT_number 127
_space_group_name_Hall '-P 4 2ab'
_cell_length_a 9.366
_cell_length_b 9.366
_cell_length_c 4.022
_cell_angle_alpha 90.00
_cell_angle_beta 90.00
_cell_angle_gamma 90.00
loop_
_atom_site_label
_atom_site_fract_x
_atom_site_fract_y
_atom_site_fract_z
Ba1 0.176 0.324 0.000
Sb1 0.000 0.000 0.000
Au1 0.113 0.613 0.500
```

*four*
A plane-wave DFT calculation with PBE was carried out for a relaxed Ba2SbAu2 crystal.

Results
For the total magnetic moment, the calculation gives 0.0 μB/cell.

Cell and atoms, written as CIF:
```
data_Ba2SbAu2
_chemical_formula_sum 'Ba4 Sb2 Au4'
_space_group_name_H-M_alt 'I 4/m m m'
_space_group_IT_number 139
_space_group_name_Hall '-I 4 2'
_cell_length_a 4.169
_cell_length_b 4.169
_cell_length_c 18.896
_cell_angle_alpha 90.00
_cell_angle_beta 90.00
_cell_angle_gamma 90.00
loop_
_atom_site_label
_atom_site_fract_x
_atom_site_fract_y
_atom_site_fract_z
Ba1 0.000 0.000 0.107
Sb1 0.000 0.000 0.500
Au1 0.000 0.500 0.250
```

*three* is the least stable structure shown above.